Record 1
KCe2TeO8: relaxed, PBE. Values from VASP.

Structure (Quantum ESPRESSO input):
```
&SYSTEM
  ibrav = 0, nat = 12, ntyp = 4
/
ATOMIC_SPECIES
K 39.10 K.upf
Ce 140.12 Ce.upf
Te 127.60 Te.upf
O 16.00 O.upf
ATOMIC_POSITIONS angstrom
K 0.002 0.004 3.785
Ce 2.523 2.506 5.783
Ce 2.520 2.502 1.779
Te 0.000 0.000 0.000
O 0.982 4.032 1.411
O 3.620 3.611 7.564
O 4.058 0.971 1.412
O 4.061 0.976 6.152
O 1.423 1.397 -0.002
O 0.985 4.037 6.150
O 3.243 3.273 3.780
O 1.800 1.735 3.782
CELL_PARAMETERS angstrom
4.994 0.012 -0.003
0.044 4.989 -0.005
0.005 0.008 7.570
```

Calculated values
final energy = -81.2 eV per cell
total moment = 1.0 μB/cell

=====

Record 2
FeCoP2S: relaxed, PBE. Values from VASP.

Structure (Quantum ESPRESSO input):
```
&SYSTEM
  ibrav = 0, nat = 5, ntyp = 4
/
ATOMIC_SPECIES
P 30.97 P.upf
S 32.06 S.upf
Co 58.93 Co.upf
Fe 55.84 Fe.upf
ATOMIC_POSITIONS angstrom
P -0.815 -1.846 -0.542
P -1.924 0.795 0.186
S -0.045 -0.624 2.191
Co 0.000 0.000 0.000
Fe -2.785 -1.675 1.835
CELL_PARAMETERS angstrom
-3.848 1.590 0.373
-1.631 -3.693 -1.085
-0.091 -1.247 4.382
```

Calculated values
E above lowest polymorph = 0.000 eV per atom
total moment = 2.8 μB/cell

=====

Record 3
YRhW2: relaxed, PBE. Values from VASP.

Structure (Quantum ESPRESSO input):
```
&SYSTEM
  ibrav = 0, nat = 4, ntyp = 3
/
ATOMIC_SPECIES
Rh 102.91 Rh.upf
W 183.84 W.upf
Y 88.91 Y.upf
ATOMIC_POSITIONS angstrom
Rh -1.435 2.330 1.414
W 0.000 0.000 0.000
W 1.301 2.327 0.000
Y 2.736 -0.002 1.414
CELL_PARAMETERS angstrom
5.472 -0.005 0.000
-2.869 4.659 0.000
0.000 0.000 2.828
```

Calculated values
E above lowest polymorph = 0.377 eV per atom
energy of formation = 0.4264 eV/atom
total moment = 0.0 μB/cell

=====

Record 4
CaMnCo: relaxed, PBE. Values from VASP.

Structure (Quantum ESPRESSO input):
```
&SYSTEM
  ibrav = 0, nat = 6, ntyp = 3
/
ATOMIC_SPECIES
Ca 40.08 Ca.upf
Mn 54.94 Mn.upf
Co 58.93 Co.upf
ATOMIC_POSITIONS angstrom
Ca -2.494 -2.482 0.429
Ca -6.315 -0.811 -2.353
Mn -2.019 0.334 -0.038
Mn -6.057 1.003 -0.113
Co 0.000 0.000 0.000
Co -4.038 0.669 -0.075
CELL_PARAMETERS angstrom
-0.042 -0.812 -4.946
-0.692 -3.819 3.172
-8.075 1.338 -0.150
```

Calculated values
E above lowest polymorph = 1.158 eV per atom
energy of formation = 1.3537 eV/atom
total moment = 7.0 μB/cell

=====

Record 5
DyTm2ScIn2: relaxed, PBE. Values from VASP.

Structure (Quantum ESPRESSO input):
```
&SYSTEM
  ibrav = 0, nat = 12, ntyp = 4
/
ATOMIC_SPECIES
Dy 162.50 Dy.upf
Tm 168.93 Tm.upf
Sc 44.96 Sc.upf
In 114.82 In.upf
ATOMIC_POSITIONS angstrom
Dy 0.113 1.545 4.261
Dy 2.332 -0.762 5.112
Tm -1.916 -1.666 0.679
Tm 1.183 -0.689 1.825
Tm 0.466 -0.833 9.987
Tm 3.511 -0.879 8.377
Sc -0.711 -0.696 6.779
Sc 1.451 -4.093 4.695
In 1.282 1.423 7.482
In -0.755 -1.753 3.965
In 3.392 -2.971 2.713
In 1.515 -3.057 7.517
CELL_PARAMETERS angstrom
-3.901 -3.276 1.292
4.435 -4.637 1.636
0.164 3.168 8.531
```

Calculated values
energy of formation = -0.3526 eV/atom
total moment = 0.0 μB/cell

=====

Record 6
Sc3SiAg3O8: relaxed, PBE. Values from VASP.

Structure (Quantum ESPRESSO input):
```
&SYSTEM
  ibrav = 0, nat = 15, ntyp = 4
/
ATOMIC_SPECIES
Sc 44.96 Sc.upf
Si 28.09 Si.upf
Ag 107.87 Ag.upf
O 16.00 O.upf
ATOMIC_POSITIONS angstrom
Sc -4.417 -1.361 0.239
Sc -1.786 -2.897 -0.389
Sc 0.529 -2.931 1.689
Si -2.102 -1.395 2.317
Ag 0.000 0.000 0.000
Ag 2.631 -1.536 -0.628
Ag 0.317 -1.502 -2.706
O 0.245 -2.597 -0.317
O -3.817 -3.196 -0.461
O -1.940 -2.694 -2.542
O -1.632 -3.099 1.764
O -4.917 -0.955 -1.832
O 1.345 -4.838 1.054
O -2.298 -0.994 0.519
O -1.274 -4.799 -1.297
CELL_PARAMETERS angstrom
-4.630 0.069 -4.157
5.263 -3.072 -1.256
-4.204 -2.791 4.634
```

Calculated values
final energy = -105.5 eV per cell
total moment = 0.0 μB/cell

=====

Copy entry 1 word for word.
KCe2TeO8: relaxed, PBE. Values from VASP.

Structure (Quantum ESPRESSO input):
```
&SYSTEM
  ibrav = 0, nat = 12, ntyp = 4
/
ATOMIC_SPECIES
K 39.10 K.upf
Ce 140.12 Ce.upf
Te 127.60 Te.upf
O 16.00 O.upf
ATOMIC_POSITIONS angstrom
K 0.002 0.004 3.785
Ce 2.523 2.506 5.783
Ce 2.520 2.502 1.779
Te 0.000 0.000 0.000
O 0.982 4.032 1.411
O 3.620 3.611 7.564
O 4.058 0.971 1.412
O 4.061 0.976 6.152
O 1.423 1.397 -0.002
O 0.985 4.037 6.150
O 3.243 3.273 3.780
O 1.800 1.735 3.782
CELL_PARAMETERS angstrom
4.994 0.012 -0.003
0.044 4.989 -0.005
0.005 0.008 7.570
```

Calculated values
final energy = -81.2 eV per cell
total moment = 1.0 μB/cell

=====

- Which value of total moment does entry 3 give?
  0.0 μB/cell